Record 1
{"formula": "TaCdCoSn", "functional": "PBE", "state": "relaxed", "cell": [[1.3612, -3.8808, 2.1335], [-0.4338, -0.3910, 4.5961], [-3.1508, -2.8854, 1.7923]], "species": ["Cd", "Co", "Sn", "Ta"], "fractional_positions": [[0.5000, 0.5000, 0.5000], [0.7500, 0.7500, 0.7500], [0.0000, 0.0000, 0.0000], [0.2500, 0.2500, 0.2500]], "space_group": "F-43m (216)", "de_polymorph_ev_per_fu": 0.000}

***

Record 2
{"formula": "HgTe4As2", "functional": "PBE", "state": "relaxed", "cell": [[4.8323, -4.4051, 4.0407], [1.5764, 3.2808, 6.7701], [-6.6186, -1.5257, -3.5986]], "species": ["As", "As", "Hg", "Te", "Te", "Te", "Te"], "fractional_positions": [[0.5000, 0.5000, 0.0000], [0.2500, 0.7500, 0.5000], [0.0000, 0.0000, 0.0000], [0.4330, 0.9206, 0.0666], [0.6336, 0.5670, 0.4876], [0.0794, 0.1460, 0.5124], [0.8540, 0.3664, 0.9334]], "space_group": "I-4 (82)", "dft_energy_ev_per_atom": -3.0604}

***

Record 3
{"formula": "Sm4B2Cl5", "functional": "PBE", "state": "relaxed", "cell": [[-1.9583, 3.8811, 9.0984], [1.9583, -3.8811, 9.0984], [1.9583, 3.8811, -9.0984]], "species": ["B", "B", "Cl", "Cl", "Cl", "Cl", "Cl", "Sm", "Sm", "Sm", "Sm"], "fractional_positions": [[0.4568, 0.4568, 0.0000], [0.5432, 0.5432, 0.0000], [0.4082, 0.1691, 0.2390], [0.0699, 0.8309, 0.2390], [0.0000, 0.5000, 0.5000], [0.9301, 0.1691, 0.7610], [0.5918, 0.8309, 0.7610], [0.3272, 0.3272, 0.0000], [0.6728, 0.6728, 0.0000], [0.2853, 0.0000, 0.2853], [0.7147, 0.0000, 0.7147]], "space_group": "Immm (71)", "dft_energy_ev_per_atom": -5.2459}

***

Record 4
{"formula": "NbNiB2", "functional": "PBE", "state": "relaxed", "cell": [[6.0560, 0.0000, 0.0000], [0.0000, 3.1322, 0.0000], [0.0000, 0.0000, 8.2167]], "species": ["B", "B", "B", "B", "B", "B", "B", "B", "Nb", "Nb", "Nb", "Nb", "Ni", "Ni", "Ni", "Ni"], "fractional_positions": [[0.7600, 0.2500, 0.0770], [0.6736, 0.7500, 0.1680], [0.1736, 0.7500, 0.3320], [0.2600, 0.2500, 0.4230], [0.7400, 0.7500, 0.5770], [0.8264, 0.2500, 0.6680], [0.3264, 0.2500, 0.8320], [0.2400, 0.7500, 0.9230], [0.3688, 0.2500, 0.1326], [0.8688, 0.2500, 0.3674], [0.1312, 0.7500, 0.6326], [0.6312, 0.7500, 0.8674], [0.0009, 0.7500, 0.1154], [0.5009, 0.7500, 0.3846], [0.4991, 0.2500, 0.6154], [0.9991, 0.2500, 0.8846]], "space_group": "Pnma (62)", "de_polymorph_ev_per_fu": 0.000}

***

Record 5
{"formula": "NaSbPt", "functional": "PBE", "state": "relaxed", "cell": [[0.0000, 3.2206, 3.2206], [3.2206, 0.0000, 3.2206], [3.2206, 3.2206, 0.0000]], "species": ["Na", "Pt", "Sb"], "fractional_positions": [[0.2500, 0.2500, 0.2500], [0.0000, 0.0000, 0.0000], [0.7500, 0.7500, 0.7500]], "space_group": "F-43m (216)", "dft_energy_ev_per_atom": -4.1709}

***

Record 6
{"formula": "Y2NbNi", "functional": "PBE", "state": "relaxed", "cell": [[-1.7123, 3.2925, 3.1970], [0.4492, -0.7956, 4.8123], [3.1182, 2.6947, 2.6473]], "species": ["Nb", "Ni", "Y", "Y"], "fractional_positions": [[0.5000, 0.5000, 0.5000], [0.7500, 0.7500, 0.7500], [0.0000, 0.0000, 0.0000], [0.2500, 0.2500, 0.2500]], "space_group": "F-43m (216)", "dft_energy_ev_per_atom": -6.7268}

***

Record 7
{"formula": "HoNb2", "functional": "PBE", "state": "relaxed", "cell": [[4.1188, 2.3780, 6.7259], [-4.1188, 2.3780, 6.7259], [0.0000, -4.7559, 6.7259]], "species": ["Ho", "Ho", "Nb", "Nb", "Nb", "Nb"], "fractional_positions": [[0.2500, 0.2500, 0.2500], [0.5000, 0.5000, 0.5000], [0.3750, 0.3750, 0.3750], [0.8750, 0.3750, 0.3750], [0.3750, 0.8750, 0.3750], [0.3750, 0.3750, 0.8750]], "space_group": "Fd-3m (227)", "de_polymorph_ev_per_fu": 12.049}

***

Record 8
{"formula": "Zr2Sc4Cd3N3", "functional": "PBE", "state": "relaxed", "cell": [[-2.9648, 4.6492, 1.1511], [-1.2968, 3.5998, -4.1341], [-11.3743, -10.2682, -1.5509]], "species": ["Cd", "Cd", "Cd", "Cd", "Cd", "Cd", "N", "N", "N", "N", "N", "N", "Sc", "Sc", "Sc", "Sc", "Sc", "Sc", "Sc", "Sc", "Zr", "Zr", "Zr", "Zr"], "fractional_positions": [[0.5826, 0.7524, 0.2494], [0.9180, 0.0820, 0.2500], [0.2476, 0.4174, 0.2506], [0.7524, 0.5826, 0.7494], [0.0820, 0.9180, 0.7500], [0.4174, 0.2476, 0.7506], [0.5000, 0.0000, 0.0000], [0.8348, 0.3326, 0.0000], [0.1652, 0.6674, 0.0000], [0.3326, 0.8348, 0.5000], [0.0000, 0.5000, 0.5000], [0.6674, 0.1652, 0.5000], [0.8619, 0.6930, 0.0803], [0.1916, 0.0282, 0.0803], [0.9718, 0.8084, 0.4197], [0.3070, 0.1381, 0.4197], [0.6930, 0.8619, 0.5803], [0.0282, 0.1916, 0.5803], [0.8084, 0.9718, 0.9197], [0.1381, 0.3070, 0.9197], [0.5271, 0.3593, 0.0817], [0.6407, 0.4729, 0.4183], [0.3593, 0.5271, 0.5817], [0.4729, 0.6407, 0.9183]], "space_group": "C2/c (15)", "dft_energy_ev_per_atom": -6.8599}